(1)
! PBE-GGA Na2Bi2PtRh, relaxed; values from VASP
&SYSTEM
  ibrav = 0, nat = 12, ntyp = 4
/
ATOMIC_SPECIES
Na 22.99 Na.upf
Pt 195.08 Pt.upf
Rh 102.91 Rh.upf
Bi 208.98 Bi.upf
CELL_PARAMETERS angstrom
-0.575 5.758 -2.089
-5.457 1.047 4.386
7.386 -1.185 3.760
ATOMIC_POSITIONS angstrom
Na -1.832 5.568 2.104
Pt -1.364 0.262 1.096
Rh -4.380 3.664 2.245
Bi 3.301 3.130 3.359
Bi 0.506 4.737 -0.501
Na 0.161 3.554 5.064
Rh -1.651 3.140 0.052
Bi 0.849 0.882 6.558
Bi -1.946 2.488 2.697
Na 3.186 0.050 3.952
Pt -4.092 0.785 3.289
Na 1.194 2.064 0.993
! VASP energy, eV per atom: -4.204
! DFT formation energy, eV/atom: -0.24

***

(2)
! PBE-GGA Na2BiSb3Pt4, relaxed; values from VASP
&SYSTEM
  ibrav = 0, nat = 10, ntyp = 4
/
ATOMIC_SPECIES
Sb 121.76 Sb.upf
Pt 195.08 Pt.upf
Bi 208.98 Bi.upf
Na 22.99 Na.upf
CELL_PARAMETERS angstrom
4.746 0.000 0.000
0.000 4.746 0.000
0.000 0.000 10.614
ATOMIC_POSITIONS angstrom
Sb 2.373 0.000 9.334
Sb 0.000 2.373 1.280
Pt 0.000 2.373 3.890
Pt 2.373 0.000 6.724
Sb 0.000 0.000 5.307
Pt 0.000 0.000 0.000
Bi 2.373 2.373 5.307
Pt 2.373 2.373 0.000
Na 0.000 2.373 8.181
Na 2.373 0.000 2.433
! Formation energy from raw total energies, eV/atom: -0.38
! VASP energy, eV per atom: -4.689